[1]
Entry from the Alexandria database: crystalline Dy5Tl4Cu at its relaxed geometry (PBE-GGA).

Cell: 3.5918 3.5918 20.2697 Å, 90.00 90.00 90.00°
Closest atoms and distances in Å follow each position.
Sites, in units of the cell vectors:
Dy 0.5000 0.5000 0.2912  8 Tl 3.30, 4 Dy 3.59
Dy 0.5000 0.5000 0.9178  4 Cu 3.04, 4 Tl 3.31, 1 Dy 3.33
Dy 0.5000 0.5000 0.7088  8 Tl 3.30, 4 Dy 3.59
Tl 0.0000 0.0000 0.3955  8 Dy 3.30-3.31, 4 Tl 3.59
Tl 0.0000 0.0000 0.1871  8 Dy 3.30-3.31, 4 Tl 3.59
Tl 0.0000 0.0000 0.6045  8 Dy 3.30-3.31, 4 Tl 3.59
Cu 0.0000 0.0000 0.0000  8 Dy 3.04
Tl 0.0000 0.0000 0.8129  8 Dy 3.30-3.31, 4 Tl 3.59
Dy 0.5000 0.5000 0.5000  8 Tl 3.31, 4 Dy 3.59
Dy 0.5000 0.5000 0.0822  4 Cu 3.04, 4 Tl 3.31, 1 Dy 3.33

Calculated values
Total energy   -39.9 eV/cell
Formation energy   -0.330 eV/atom
Density   10.75 g/cm³
Total magnetic moment   0.07 μB per cell



[2]
Entry from the Alexandria database: crystalline YbSiAu at its relaxed geometry (PBE-GGA).

Cell: 4.4821 4.4821 6.8826 Å, 90.00 90.00 120.00°
Closest atoms and distances in Å follow each position.
Sites, in units of the cell vectors:
Si 0.6667 0.3333 0.6991  3 Au 2.61, 1 Si 2.74
Au 0.3333 0.6667 0.7469  3 Si 2.61
Yb 0.0000 0.0000 0.0000  6 Au 3.12, 6 Si 3.31, 2 Yb 3.44
Si 0.6667 0.3333 0.3009  3 Au 2.61, 1 Si 2.74
Yb 0.0000 0.0000 0.5000  6 Si 2.93, 6 Au 3.10
Au 0.3333 0.6667 0.2531  3 Si 2.61

Calculated values
Total energy   -24.9 eV/cell
Density   11.04 g/cm³
Total magnetic moment   0.00 μB per cell
E_form (uncorrected)   -0.74 eV/atom



[3]
Entry from the Alexandria database: crystalline Co2Ag2Br7 at its relaxed geometry (PBE-GGA).

Cell: 7.5552 7.5552 13.5708 Å, 104.06 104.06 96.48°
Closest atoms and distances in Å follow each position.
Sites, in units of the cell vectors:
Ag 0.6332 0.2729 0.5333  5 Br 2.70-2.86
Br 0.9928 0.6842 0.4119  1 Co 2.33
Ag 0.3668 0.7271 0.4667  5 Br 2.70-2.86
Br 0.0736 0.4242 0.1244  1 Co 2.39
Br 0.3158 0.0072 0.0881  1 Co 2.33
Br 0.3793 0.4216 0.8600  1 Co 2.37
Br 0.5758 0.9264 0.3756  1 Co 2.39
Br 0.6842 0.9928 0.9119  1 Co 2.33
Ag 0.2729 0.6332 0.0333  5 Br 2.70-2.86
Br 0.9264 0.5758 0.8756  1 Co 2.39
Co 0.8028 0.8092 0.2944  4 Br 2.33-2.40
Br 0.0072 0.3158 0.5881  1 Co 2.33
Br 0.5784 0.6207 0.6400  1 Co 2.37
Co 0.1972 0.1908 0.7056  4 Br 2.33-2.40
Br 0.6207 0.5784 0.1400  1 Co 2.37
Br 0.0791 0.9209 0.7500  2 Co 2.40
Br 0.4216 0.3793 0.3600  1 Co 2.37
Br 0.9209 0.0791 0.2500  2 Co 2.40
Co 0.8092 0.8028 0.7944  4 Br 2.33-2.40
Ag 0.7271 0.3668 0.9667  5 Br 2.70-2.86
Br 0.4242 0.0736 0.6244  1 Co 2.39
Co 0.1908 0.1972 0.2056  4 Br 2.33-2.40

Calculated values
Total energy   -69.2 eV/cell
Density   4.14 g/cm³
Total magnetic moment   14.09 μB per cell
E_form (uncorrected)   -0.27 eV/atom



[4]
Entry from the Alexandria database: crystalline CeDyEr2In4 at its relaxed geometry (PBE-GGA).

Cell: 5.3276 5.3276 9.2776 Å, 73.31 73.31 60.00°
Closest atoms and distances in Å follow each position.
Sites, in units of the cell vectors:
In 0.6263 0.6263 0.1211  4 Er 3.24-3.27, 3 Dy 3.25, 1 Ce 3.32
Er 0.2504 0.2504 0.2489  8 In 3.24-3.33
Ce 0.5000 0.5000 0.5000  8 In 3.28-3.32
Er 0.7496 0.7496 0.7511  8 In 3.24-3.33
In 0.3737 0.3737 0.8789  4 Er 3.24-3.27, 3 Dy 3.25, 1 Ce 3.32
Dy 0.0000 0.0000 0.0000  8 In 3.24-3.25
In 0.8765 0.8765 0.3706  1 Dy 3.24, 4 Er 3.25-3.33, 3 Ce 3.28
In 0.1235 0.1235 0.6294  1 Dy 3.24, 4 Er 3.25-3.33, 3 Ce 3.28

Calculated values
Total energy   -34.0 eV/cell
Formation energy   -0.420 eV/atom
Density   8.46 g/cm³
Total magnetic moment   0.94 μB per cell



[5]
Entry from the Alexandria database: crystalline Rb4InH5 at its relaxed geometry (PBE-GGA).

Cell: 5.9494 6.9819 6.9819 Å, 79.54 64.78 64.78°
Closest atoms and distances in Å follow each position.
Sites, in units of the cell vectors:
H 0.3067 0.0000 0.0000  1 In 1.92
H 0.1179 0.6319 0.1939  1 In 2.64, 3 Rb 2.85-2.94
Rb 0.2339 0.1888 0.3916  6 H 2.85-3.07
In 0.9838 0.0000 0.0000  1 H 1.92
Rb 0.4227 0.3916 0.8112  6 H 2.85-3.07
Rb 0.8143 0.8112 0.6084  6 H 2.85-3.07
H 0.9438 0.3681 0.8061  1 In 2.64, 3 Rb 2.85-2.94
H 0.7498 0.1939 0.3681  1 In 2.64, 3 Rb 2.85-2.94
H 0.3118 0.8061 0.6319  1 In 2.64, 3 Rb 2.85-2.94
Rb 0.6255 0.6084 0.1888  6 H 2.85-3.07

Calculated values
Total energy   -24.1 eV/cell
Density   3.23 g/cm³
Total magnetic moment   0.00 μB per cell



[6]
Entry from the Alexandria database: crystalline Ce2PrThN4 at its relaxed geometry (PBE-GGA).

Cell: 3.6208 6.2674 6.2798 Å, 109.39 90.00 90.00°
Closest atoms and distances in Å follow each position.
Sites, in units of the cell vectors:
Pr 0.5000 0.5000 0.0000  6 N 2.62-2.63
N 0.0000 0.2361 0.7364  3 Ce 2.49-2.56, 1 Th 2.56, 2 Pr 2.63
N 0.5000 0.7561 0.7439  3 Ce 2.50-2.56, 2 Th 2.56, 1 Pr 2.62
Ce 0.0000 0.5000 0.5000  6 N 2.56
N 0.0000 0.7639 0.2636  3 Ce 2.49-2.56, 1 Th 2.56, 2 Pr 2.63
Ce 0.5000 0.0000 0.5000  6 N 2.49-2.50
N 0.5000 0.2439 0.2561  3 Ce 2.50-2.56, 2 Th 2.56, 1 Pr 2.62
Th 0.0000 0.0000 0.0000  6 N 2.56

Calculated values
Total energy   -69.3 eV/cell
Density   8.76 g/cm³
Total magnetic moment   0.06 μB per cell
E_form (uncorrected)   -1.49 eV/atom



[7]
Entry from the Alexandria database: crystalline SrAgBH6 at its relaxed geometry (PBE-GGA).

Cell: 4.9011 6.7900 5.2642 Å, 115.37 99.63 43.82°
Closest atoms and distances in Å follow each position.
Sites, in units of the cell vectors:
Ag 0.5706 0.7793 0.4482  2 H 1.71-1.72
H 0.4200 0.5215 0.5058  1 B 1.24
H 0.2893 0.4409 0.7717  1 B 1.22
Sr 0.9258 0.0472 0.9833  11 H 2.52-2.74
H 0.4900 0.9636 0.8176  1 Ag 1.72
H 0.6092 0.5993 0.0885  1 Ag 1.71
H 0.8463 0.1024 0.5088  1 B 1.24
H 0.3731 0.2219 0.3397  1 B 1.23
B 0.4754 0.3239 0.5362  4 H 1.22-1.24

Calculated values
Total energy   -33.5 eV/cell
Density   3.30 g/cm³
Total magnetic moment   0.00 μB per cell



[8]
Entry from the Alexandria database: crystalline TiHCl2 at its relaxed geometry (PBE-GGA).

Cell: 6.9490 6.9490 6.9490 Å, 27.53 27.53 27.53°
Closest atoms and distances in Å follow each position.
Sites, in units of the cell vectors:
Ti 0.5000 0.5000 0.5000  6 Cl 2.52
Cl 0.0850 0.0850 0.0850  1 H 1.70
Cl 0.9150 0.9150 0.9150  1 H 1.70
H 0.0000 0.0000 0.0000  2 Cl 1.70

Calculated values
Total energy   -16.7 eV/cell
Density   3.14 g/cm³
Total magnetic moment   0.00 μB per cell



[9]
Entry from the Alexandria database: crystalline NaMo2Cl at its relaxed geometry (PBE-GGA).

Cell: 3.5753 3.5753 14.7964 Å, 83.06 83.06 90.00°
Closest atoms and distances in Å follow each position.
Sites, in units of the cell vectors:
Na 0.5000 0.5000 0.0000  4 Cl 2.53
Mo 0.8750 0.3971 0.7500  4 Mo 2.42-2.64
Mo 0.1471 0.1250 0.2500  4 Mo 2.42-2.64
Na 0.2500 0.7500 0.5000  4 Cl 2.53
Mo 0.3750 0.8529 0.7500  4 Mo 2.42-2.64
Mo 0.6029 0.6250 0.2500  4 Mo 2.42-2.64
Cl 0.7500 0.2500 0.5000  4 Na 2.53
Cl 0.0000 0.0000 0.0000  4 Na 2.53

Calculated values
Polymorph energy (0 for the lowest one)   0 meV per atom
Total energy   -45.9 eV/cell
Density   4.46 g/cm³
Total magnetic moment   0.00 μB per cell
E_form (uncorrected)   0.47 eV/atom



[10]
Entry from the Alexandria database: crystalline RbCa2HgC at its relaxed geometry (PBE-GGA).

Cell: 5.1626 5.5866 5.1626 Å, 90.00 90.00 90.00°
Closest atoms and distances in Å follow each position.
Sites, in units of the cell vectors:
Hg 0.0000 0.5000 0.0000  2 C 2.79
Ca 0.5000 0.0000 0.0000  2 C 2.58
Ca 0.0000 0.0000 0.5000  2 C 2.58
C 0.0000 0.0000 0.0000  4 Ca 2.58, 2 Hg 2.79
Rb 0.5000 0.5000 0.5000  4 Hg 3.65, 8 Ca 3.80

Calculated values
Total energy   -12.2 eV/cell
Formation energy   0.459 eV/atom
Density   4.22 g/cm³
Total magnetic moment   0.00 μB per cell



[11]
Entry from the Alexandria database: crystalline Y4Ga3Os at its relaxed geometry (PBE-GGA).

Cell: 4.1743 4.1917 10.7167 Å, 90.00 90.00 90.00°
Closest atoms and distances in Å follow each position.
Sites, in units of the cell vectors:
Y 0.0000 0.5000 0.8678  2 Os 2.99, 5 Ga 3.03-3.13
Ga 0.5000 0.0000 0.9295  2 Os 2.57
Ga 0.0000 0.5000 0.5758  2 Ga 2.63
Y 0.5000 0.0000 0.6441  7 Ga 3.05-3.12
Y 0.5000 0.5000 0.3474  1 Os 2.99, 6 Ga 3.08-3.22
Os 0.5000 0.5000 0.0682  2 Ga 2.57
Ga 0.0000 0.0000 0.4282  2 Ga 2.63
Y 0.0000 0.0000 0.1390  4 Os 3.05, 3 Ga 3.07-3.10

Calculated values
Total energy   -50.4 eV/cell
Formation energy   -0.524 eV/atom
Density   6.69 g/cm³
Total magnetic moment   0.00 μB per cell



[12]
Entry from the Alexandria database: crystalline Na3BiI at its relaxed geometry (PBE-GGA).

Cell: 5.8211 5.8211 5.8211 Å, 90.00 90.00 90.00°
Closest atoms and distances in Å follow each position.
Sites, in units of the cell vectors:
I 0.0000 0.0000 0.0000  6 Na 2.91
Na 0.0000 0.5000 0.0000  2 I 2.91
Na 0.5000 0.0000 0.0000  2 I 2.91
Na 0.0000 0.0000 0.5000  2 I 2.91
Bi 0.5000 0.5000 0.5000  12 Na 4.12

Calculated values
Polymorph energy (0 for the lowest one)   268 meV per atom
Total energy   -11.1 eV/cell
Density   3.41 g/cm³
Total magnetic moment   1.00 μB per cell
E_form (uncorrected)   -0.34 eV/atom